# PBE Cs4La3InS8, relaxed
data_Cs4La3InS8
_cell_length_a 8.5373
_cell_length_b 8.5373
_cell_length_c 24.2377
_cell_angle_alpha 90.00
_cell_angle_beta 90.00
_cell_angle_gamma 120.00
_symmetry_space_group_name_H-M 'R -3 m'
_symmetry_Int_Tables_number 166
_symmetry_space_group_name_Hall '-R 3 2"'
loop_
_atom_site_label
_atom_site_type_symbol
_atom_site_fract_x
_atom_site_fract_y
_atom_site_fract_z
Cs1 Cs 0.0000 0.0000 0.0000
Cs2 Cs 0.0000 0.5000 0.0000
La1 La 0.0000 0.5000 0.5000
In1 In 0.0000 0.0000 0.5000
S1 S 0.0000 0.0000 0.2293
S2 S 0.0145 0.5073 0.2281
# Energy (eV/cell): -238.01
# Size of the total moment (μB/atom): 0.000